[1]
The following is a PBE-GGA calculation of a relaxed structure of Ta3Mo2, from Alexandria via LeMat-Bulk.

Cell: 8.485 8.485 8.485 Å, 158.01 158.01 31.29°
Fractional positions:
Ta: 0.600 0.600 0.000
Ta: 0.796 0.796 0.000
Ta: 0.404 0.404 0.000
Mo: 0.200 0.200 0.000
Mo: 0.000 0.000 0.000

## Properties
- magnetization (μB per formula unit) = 0.00
- calculated density (Mg/m³) = 14.258
- excess energy over the best structure of this formula in the dataset (eV per atom) = 0.007


[2]
The following is a PBE-GGA calculation of a relaxed structure of TaMo4, from Alexandria via LeMat-Bulk.

Cell: 5.082 5.082 5.082 Å, 109.47 109.47 109.47°
Fractional positions:
Mo: 0.500 0.000 0.000
Mo: 0.500 0.500 0.500
Mo: 0.000 0.000 0.500
Mo: 0.000 0.500 0.000
Ta: 0.000 0.000 0.000

## Properties
- magnetization (μB per formula unit) = 0.00
- calculated density (Mg/m³) = 9.278
- excess energy over the best structure of this formula in the dataset (eV per atom) = 1.721


[3]
The following is a PBE-GGA calculation of a relaxed structure of TaMo2, from Alexandria via LeMat-Bulk.

Cell: 5.563 4.536 4.536 Å, 120.00 90.00 90.00°
Fractional positions:
Ta: 0.502 0.000 0.000
Ta: 0.832 0.667 0.333
Mo: 0.167 0.333 0.667
Mo: 0.331 0.667 0.333
Mo: 0.003 0.000 0.000
Mo: 0.667 0.333 0.667

## Properties
- magnetization (μB per formula unit) = 0.00
- calculated density (Mg/m³) = 12.494
- electronic total energy (eV/f.u.) = -34.0


[4]
The following is a PBE-GGA calculation of a relaxed structure of Ta3Mo, from Alexandria via LeMat-Bulk.

Cell: 2.861 2.861 18.424 Å, 90.00 90.00 110.59°
Fractional positions:
Ta: 0.500 0.500 0.630
Ta: 0.500 0.500 0.373
Ta: 0.000 0.000 0.759
Ta: 0.000 0.000 0.245
Ta: 0.000 0.000 0.502
Ta: 0.500 0.500 0.116
Mo: 0.500 0.500 0.880
Mo: 0.000 0.000 0.995

## Properties
- magnetization (μB per formula unit) = 0.00
- calculated density (Mg/m³) = 15.033
- excess energy over the best structure of this formula in the dataset (eV per atom) = 0.075


[5]
The following is a PBE-GGA calculation of a relaxed structure of Ta3Mo, from Alexandria via LeMat-Bulk.

Cell: 5.407 5.689 5.677 Å, 109.46 121.22 79.52°
Fractional positions:
Ta: 0.987 0.503 0.500
Ta: 0.012 0.998 0.499
Ta: 0.488 0.752 0.001
Ta: 0.008 0.500 0.009
Ta: 0.492 0.250 0.491
Ta: 0.513 0.247 0.000
Mo: 0.506 0.751 0.506
Mo: 0.994 0.999 0.994

## Properties
- magnetization (μB per formula unit) = 0.00
- calculated density (Mg/m³) = 15.066
- excess energy over the best structure of this formula in the dataset (eV per atom) = 0.034


[6]
The following is a PBE-GGA calculation of a relaxed structure of TaMo7, from Alexandria via LeMat-Bulk.

Cell: 3.179 22.093 10.458 Å, 14.36 62.87 54.86°
Fractional positions:
Mo: 0.000 0.500 0.000
Mo: 0.000 0.375 0.000
Mo: 0.000 0.250 0.000
Mo: 0.997 0.626 0.000
Mo: 0.989 0.003 0.000
Mo: 0.011 0.747 0.000
Mo: 0.003 0.124 0.000
Ta: 0.000 0.875 0.000

## Properties
- magnetization (μB per formula unit) = 0.00
- calculated density (Mg/m³) = 10.985
- excess energy over the best structure of this formula in the dataset (eV per atom) = 0.000


[7]
The following is a PBE-GGA calculation of a relaxed structure of Ta2Mo, from Alexandria via LeMat-Bulk.

Cell: 5.536 4.625 8.234 Å, 90.00 90.00 90.00°
Fractional positions:
Ta: 0.823 0.750 0.425
Ta: 0.510 0.250 0.263
Ta: 0.490 0.750 0.737
Ta: 0.010 0.250 0.237
Ta: 0.323 0.750 0.075
Ta: 0.990 0.750 0.763
Ta: 0.177 0.250 0.575
Ta: 0.677 0.250 0.925
Mo: 0.674 0.250 0.583
Mo: 0.174 0.250 0.917
Mo: 0.826 0.750 0.083
Mo: 0.326 0.750 0.417

## Properties
- magnetization (μB per formula unit) = 0.00
- calculated density (Mg/m³) = 14.423
- excess energy over the best structure of this formula in the dataset (eV per atom) = 0.140


[8]
The following is a PBE-GGA calculation of a relaxed structure of Ta3Mo5, from Alexandria via LeMat-Bulk.

Cell: 5.566 5.566 5.566 Å, 109.47 109.47 109.47°
Fractional positions:
Mo: 0.500 0.000 0.000
Mo: 0.000 0.000 0.000
Mo: 0.000 0.000 0.500
Mo: 0.500 0.500 0.500
Mo: 0.000 0.500 0.000
Ta: 0.000 0.500 0.500
Ta: 0.500 0.000 0.500
Ta: 0.500 0.500 0.000

## Properties
- magnetization (μB per formula unit) = 0.00
- calculated density (Mg/m³) = 12.794
- excess energy over the best structure of this formula in the dataset (eV per atom) = 0.003


[9]
The following is a PBE-GGA calculation of a relaxed structure of Ta3Mo, from Alexandria via LeMat-Bulk.

Cell: 5.521 9.382 5.521 Å, 90.00 90.00 90.00°
Fractional positions:
Ta: 0.736 0.500 0.171
Ta: 0.264 0.500 0.829
Ta: 0.236 0.000 0.329
Ta: 0.001 0.750 0.001
Ta: 0.764 0.000 0.671
Ta: 0.264 0.000 0.829
Ta: 0.501 0.750 0.499
Ta: 0.499 0.250 0.501
Ta: 0.236 0.500 0.329
Ta: 0.999 0.250 0.999
Ta: 0.764 0.500 0.671
Ta: 0.736 0.000 0.171
Mo: 0.999 0.250 0.499
Mo: 0.001 0.750 0.501
Mo: 0.501 0.750 0.999
Mo: 0.499 0.250 0.001

## Properties
- magnetization (μB per formula unit) = 0.00
- calculated density (Mg/m³) = 14.836
- excess energy over the best structure of this formula in the dataset (eV per atom) = 0.202


[10]
The following is a PBE-GGA calculation of a relaxed structure of TaMo2, from Alexandria via LeMat-Bulk.

Cell: 4.275 4.275 3.207 Å, 90.00 90.00 90.00°
Fractional positions:
Mo: 0.500 0.000 0.500
Mo: 0.000 0.500 0.500
Ta: 0.000 0.000 0.000

## Properties
- magnetization (μB per formula unit) = 0.00
- calculated density (Mg/m³) = 10.561
- electronic total energy (eV/f.u.) = -30.6


[11]
The following is a PBE-GGA calculation of a relaxed structure of Ta3Mo, from Alexandria via LeMat-Bulk.

Cell: 6.543 6.551 9.177 Å, 45.54 90.00 90.13°
Fractional positions:
Ta: 0.003 0.500 0.004
Ta: 0.748 0.498 0.751
Ta: 0.253 0.497 0.752
Ta: 0.497 0.499 0.496
Ta: 0.748 0.001 0.753
Ta: 0.747 0.504 0.248
Ta: 0.253 0.000 0.246
Ta: 0.748 0.001 0.246
Ta: 0.497 0.499 0.005
Ta: 0.003 0.500 0.496
Ta: 0.003 0.003 0.498
Ta: 0.253 0.000 0.754
Mo: 0.251 0.500 0.250
Mo: 0.000 0.001 0.999
Mo: 0.500 0.998 0.501
Mo: 0.498 0.000 0.000

## Properties
- magnetization (μB per formula unit) = 0.00
- calculated density (Mg/m³) = 15.113
- excess energy over the best structure of this formula in the dataset (eV per atom) = 0.042


[12]
The following is a PBE-GGA calculation of a relaxed structure of Ta3Mo4, from Alexandria via LeMat-Bulk.

Cell: 3.214 11.562 3.214 Å, 82.01 90.00 97.99°
Fractional positions:
Mo: 0.428 0.856 0.572
Mo: 0.572 0.144 0.428
Mo: 0.860 0.720 0.140
Mo: 0.140 0.280 0.860
Ta: 0.000 0.000 0.000
Ta: 0.288 0.576 0.712
Ta: 0.712 0.424 0.288

## Properties
- magnetization (μB per formula unit) = 0.00
- calculated density (Mg/m³) = 13.137
- electronic total energy (eV/f.u.) = -80.0


[13]
The following is a PBE-GGA calculation of a relaxed structure of Ta3Mo, from Alexandria via LeMat-Bulk.

Cell: 3.267 4.614 9.304 Å, 90.00 90.00 90.00°
Fractional positions:
Mo: 0.500 0.000 0.243
Mo: 0.000 0.000 0.007
Ta: 0.000 0.500 0.251
Ta: 0.500 0.000 0.757
Ta: 0.500 0.500 0.502
Ta: 0.500 0.500 0.999
Ta: 0.000 0.000 0.493
Ta: 0.000 0.500 0.748

## Properties
- magnetization (μB per formula unit) = 0.00
- calculated density (Mg/m³) = 15.125
- excess energy over the best structure of this formula in the dataset (eV per atom) = 0.038